1.
# LiAs2 | the Alexandria database | PBE | relaxed
data_LiAs2
_space_group_name_H-M_alt 'P 6/m m m'
_space_group_IT_number 191
_space_group_name_Hall '-P 6 2'
_cell_length_a 4.4492
_cell_length_b 4.4492
_cell_length_c 3.8062
_cell_angle_alpha 90.00
_cell_angle_beta 90.00
_cell_angle_gamma 120.00
loop_
_atom_site_label
_atom_site_type_symbol
_atom_site_fract_x
_atom_site_fract_y
_atom_site_fract_z
Li1 Li 0.0000 0.0000 0.0000
As1 As 0.3333 0.6667 0.5000
# E_tot, eV/cell: -11.383

---

2.
# LiAs | the Alexandria database | PBE | relaxed
data_LiAs
_space_group_name_H-M_alt 'P m n 21'
_space_group_IT_number 31
_cell_length_a 8.859
_cell_length_b 4.565
_cell_length_c 5.682
_cell_angle_alpha 90.00
_cell_angle_beta 90.00
_cell_angle_gamma 90.00
loop_
_space_group_symop_operation_xyz
'x,y,z'
'-x+1/2,-y,z+1/2'
'-x,y,z'
'x+1/2,-y,z+1/2'
loop_
_atom_site_label
_atom_site_type_symbol
_atom_site_fract_x
_atom_site_fract_y
_atom_site_fract_z
Li1 Li 0.000 0.197 0.000
Li2 Li 0.190 0.488 0.551
As1 As 0.000 0.693 0.244
As2 As 0.236 0.989 0.286
# E_tot, eV/cell: -44.619

---

3.
# LiAs3 | the Alexandria database | PBE | relaxed
data_LiAs3
_space_group_name_H-M_alt 'P -6 m 2'
_space_group_IT_number 187
_space_group_name_Hall 'P -6 2'
_cell_length_a 3.4682
_cell_length_b 3.4682
_cell_length_c 7.5010
_cell_angle_alpha 90.00
_cell_angle_beta 90.00
_cell_angle_gamma 120.00
loop_
_atom_site_label
_atom_site_type_symbol
_atom_site_fract_x
_atom_site_fract_y
_atom_site_fract_z
Li1 Li 0.0000 0.0000 0.0000
As1 As 0.0000 0.0000 0.5000
As2 As 0.3333 0.6667 0.2590
# Excess energy over the best structure of this formula in the dataset, meV/atom: 138
# E_tot, eV/cell: -15.716

---

| no. | ΔE_f (meV per atom) |
| --- | --- |
| 1 | -57 |
| 2 | -437 |
| 3 | 37 |